Entry 1:
The following is a PBE-GGA calculation of YB2SbPd after structural relaxation, from the Alexandria database. Values from VASP.

Calculated values
Its uncorrected formation energy is 94.6 kJ/mol of atoms. Its density of states at the Fermi level is 0.549 states/eV per atom. Its total energy is -4.85 eV per atom.

Structure (Quantum ESPRESSO input):
```
&SYSTEM
  ibrav = 0, nat = 5, ntyp = 4
/
ATOMIC_SPECIES
Y 88.91 Y.upf
B 10.81 B.upf
Sb 121.76 Sb.upf
Pd 106.42 Pd.upf
CELL_PARAMETERS angstrom
4.490 0.000 0.000
0.000 4.490 0.000
0.000 0.000 4.950
ATOMIC_POSITIONS angstrom
Y 0.000 0.000 0.000
B 0.000 2.245 2.475
B 2.245 0.000 2.475
Sb 2.245 2.245 2.475
Pd 2.245 2.245 0.000
```


Entry 2:
The following is a PBE-GGA calculation of Pm8Ga3TcBr4 after structural relaxation, from the Alexandria database. Values from VASP.

Calculated values
Its uncorrected formation energy is -76.4 kJ/mol of atoms. Its density of states at the Fermi level is 0.608 states/eV per atom. Its total energy is -4.80 eV per atom.

Structure (Quantum ESPRESSO input):
```
&SYSTEM
  ibrav = 0, nat = 16, ntyp = 4
/
ATOMIC_SPECIES
Pm 145.00 Pm.upf
Ga 69.72 Ga.upf
Tc 98.00 Tc.upf
Br 79.90 Br.upf
CELL_PARAMETERS angstrom
7.332 -4.245 0.000
7.332 4.245 0.000
-4.883 0.000 7.429
ATOMIC_POSITIONS angstrom
Pm -0.135 0.000 5.268
Pm 3.743 2.246 5.268
Pm 6.039 2.246 2.160
Pm 2.444 0.000 2.005
Pm 7.338 0.000 5.424
Pm 3.743 -2.246 5.268
Pm 6.039 -2.246 2.160
Pm 9.916 0.000 2.161
Ga 1.225 2.122 3.714
Ga 1.225 -2.122 3.714
Ga 4.891 0.000 3.714
Tc -2.441 0.000 3.714
Br 0.000 0.000 0.000
Br 3.666 2.122 0.000
Br 3.666 -2.122 0.000
Br 7.332 0.000 0.000
```


Entry 3:
The following is a PBE-GGA calculation of Fe2Ni4Pt3 after structural relaxation, from the Alexandria database. Values from VASP.

Calculated values
For the polymorph energy (0 for the lowest one), the calculation gives 33 meV/atom. Its density of states at the Fermi level is 1.116 states/eV per atom. Its total energy is -6.51 eV per atom. The energy relative to the elements comes out at -47 meV per atom.

Structure (Quantum ESPRESSO input):
```
&SYSTEM
  ibrav = 0, nat = 9, ntyp = 3
/
ATOMIC_SPECIES
Fe 55.84 Fe.upf
Ni 58.69 Ni.upf
Pt 195.08 Pt.upf
CELL_PARAMETERS angstrom
3.487 -2.217 0.000
3.487 2.217 0.000
-1.171 0.000 7.628
ATOMIC_POSITIONS angstrom
Fe 0.826 0.000 2.139
Fe 4.976 0.000 5.489
Ni 0.468 0.000 4.585
Ni 2.501 0.000 6.347
Ni 3.301 0.000 1.281
Ni 5.334 0.000 3.043
Pt 0.074 0.000 7.097
Pt 2.901 0.000 3.814
Pt 5.728 0.000 0.531
```


Entry 4:
The following is a PBE-GGA calculation of Y3ZrPa2N6 after structural relaxation, from the Alexandria database. Values from VASP.

Calculated values
Its uncorrected formation energy is -162.5 kJ/mol of atoms. Its density of states at the Fermi level is 0.427 states/eV per atom. Its total energy is -9.76 eV per atom.

Structure (Quantum ESPRESSO input):
```
&SYSTEM
  ibrav = 0, nat = 12, ntyp = 4
/
ATOMIC_SPECIES
Y 88.91 Y.upf
Zr 91.22 Zr.upf
Pa 231.04 Pa.upf
N 14.01 N.upf
CELL_PARAMETERS angstrom
2.987 -5.180 0.000
2.987 5.180 0.000
-1.973 0.000 5.644
ATOMIC_POSITIONS angstrom
Y 0.000 0.000 0.000
Y 2.987 1.699 0.000
Y 2.987 -1.699 0.000
Zr 2.000 0.000 2.822
Pa 2.000 3.454 2.822
Pa 2.000 -3.454 2.822
N 0.994 1.738 1.507
N 0.007 0.000 4.164
N 0.994 -1.738 1.507
N 3.007 1.738 4.136
N 3.994 0.000 1.480
N 3.007 -1.738 4.136
```


Entry 5:
The following is a PBE-GGA calculation of Sr2ReTe after structural relaxation, from the Alexandria database. Values from VASP.

Calculated values
For the polymorph energy (0 for the lowest one), the calculation gives 145 meV/atom. Its uncorrected formation energy is 25.7 kJ/mol of atoms. Its density of states at the Fermi level is 0.867 states/eV per atom. Its total energy is -4.47 eV per atom.

Structure (Quantum ESPRESSO input):
```
&SYSTEM
  ibrav = 0, nat = 4, ntyp = 3
/
ATOMIC_SPECIES
Sr 87.62 Sr.upf
Re 186.21 Re.upf
Te 127.60 Te.upf
CELL_PARAMETERS angstrom
3.562 0.000 0.000
0.000 3.562 0.000
0.000 0.000 9.450
ATOMIC_POSITIONS angstrom
Sr 0.000 0.000 0.000
Sr 1.781 1.781 3.609
Re 1.781 1.781 7.170
Te 0.000 0.000 6.010
```


Entry 6:
The following is a PBE-GGA calculation of CaTlSn after structural relaxation, from the Alexandria database. Values from VASP.

Calculated values
For the polymorph energy (0 for the lowest one), the calculation gives 93 meV/atom. Its density of states at the Fermi level is 0.901 states/eV per atom. Its total energy is -3.04 eV per atom. The energy relative to the elements comes out at -249 meV per atom.

Structure (Quantum ESPRESSO input):
```
&SYSTEM
  ibrav = 0, nat = 12, ntyp = 3
/
ATOMIC_SPECIES
Ca 40.08 Ca.upf
Tl 204.38 Tl.upf
Sn 118.71 Sn.upf
CELL_PARAMETERS angstrom
7.420 0.000 0.000
0.000 7.420 0.000
0.000 0.000 7.420
ATOMIC_POSITIONS angstrom
Ca 0.000 0.000 0.000
Ca 0.000 3.710 3.710
Ca 3.710 0.000 3.710
Ca 3.710 3.710 0.000
Tl 0.000 0.000 3.710
Tl 0.000 3.710 0.000
Tl 3.710 0.000 0.000
Tl 3.710 3.710 3.710
Sn 1.855 1.855 1.855
Sn 1.855 5.565 5.565
Sn 5.565 1.855 5.565
Sn 5.565 5.565 1.855
```


Repeat the fourth record exactly.
The following is a PBE-GGA calculation of Y3ZrPa2N6 after structural relaxation, from the Alexandria database. Values from VASP.

Calculated values
Its uncorrected formation energy is -162.5 kJ/mol of atoms. Its density of states at the Fermi level is 0.427 states/eV per atom. Its total energy is -9.76 eV per atom.

Structure (Quantum ESPRESSO input):
```
&SYSTEM
  ibrav = 0, nat = 12, ntyp = 4
/
ATOMIC_SPECIES
Y 88.91 Y.upf
Zr 91.22 Zr.upf
Pa 231.04 Pa.upf
N 14.01 N.upf
CELL_PARAMETERS angstrom
2.987 -5.180 0.000
2.987 5.180 0.000
-1.973 0.000 5.644
ATOMIC_POSITIONS angstrom
Y 0.000 0.000 0.000
Y 2.987 1.699 0.000
Y 2.987 -1.699 0.000
Zr 2.000 0.000 2.822
Pa 2.000 3.454 2.822
Pa 2.000 -3.454 2.822
N 0.994 1.738 1.507
N 0.007 0.000 4.164
N 0.994 -1.738 1.507
N 3.007 1.738 4.136
N 3.994 0.000 1.480
N 3.007 -1.738 4.136
```


Please write out number 5 again, unchanged.
The following is a PBE-GGA calculation of Sr2ReTe after structural relaxation, from the Alexandria database. Values from VASP.

Calculated values
For the polymorph energy (0 for the lowest one), the calculation gives 145 meV/atom. Its uncorrected formation energy is 25.7 kJ/mol of atoms. Its density of states at the Fermi level is 0.867 states/eV per atom. Its total energy is -4.47 eV per atom.

Structure (Quantum ESPRESSO input):
```
&SYSTEM
  ibrav = 0, nat = 4, ntyp = 3
/
ATOMIC_SPECIES
Sr 87.62 Sr.upf
Re 186.21 Re.upf
Te 127.60 Te.upf
CELL_PARAMETERS angstrom
3.562 0.000 0.000
0.000 3.562 0.000
0.000 0.000 9.450
ATOMIC_POSITIONS angstrom
Sr 0.000 0.000 0.000
Sr 1.781 1.781 3.609
Re 1.781 1.781 7.170
Te 0.000 0.000 6.010
```